No. 1
## KHg2GeRh (GGA-PBE)

Data for an optimized crystal structure of KHg2GeRh.

Results
The total DFT energy (no corrections) is -14.64 eV/cell. The value obtained for the magnetic moment is 0.00 μB per formula unit. The space group is P4/mmm, No. 123.

The structure in POSCAR format:
```
KHg2GeRh
1.0
5.386 0.000 0.000
0.000 5.386 0.000
0.000 0.000 4.705
Hg Ge K Rh
2 1 1 1
direct
0.500 0.000 0.000
0.000 0.500 0.000
0.000 0.000 0.500
0.500 0.500 0.500
0.000 0.000 0.000
```


No. 2
## LiZr2FeRe (GGA-PBE)

Data for an optimized crystal structure of LiZr2FeRe.

Results
The total DFT energy (no corrections) is -34.25 eV/cell. The value obtained for the magnetic moment is 0.00 μB per formula unit. The space group is P4/mmm, No. 123.

The structure in POSCAR format:
```
LiZr2FeRe
1.0
4.648 0.000 0.000
0.000 4.648 0.000
0.000 0.000 3.958
Re Zr Fe Li
1 2 1 1
direct
0.000 0.000 0.500
0.500 0.000 0.000
0.000 0.500 0.000
0.500 0.500 0.500
0.000 0.000 0.000
```


No. 3
## MnBC (GGA-PBE)

Data for an optimized crystal structure of MnBC.

Results
The total DFT energy (no corrections) is -47.58 eV/cell. The value obtained for the magnetic moment is 1.40 μB per formula unit. The space group is Amm2, No. 38.

The structure in POSCAR format:
```
MnBC
1.0
2.737 0.000 0.000
-1.368 3.719 0.000
0.000 0.000 5.257
C Mn B
2 2 2
direct
0.606 0.211 0.000
0.606 0.212 0.500
0.002 0.005 0.250
0.002 0.005 0.750
0.725 0.450 0.250
0.725 0.450 0.750
```


No. 4
## Ac3SnP (GGA-PBE)

Data for an optimized crystal structure of Ac3SnP.

Results
The total DFT energy (no corrections) is -24.97 eV/cell. The value obtained for the magnetic moment is 0.00 μB per formula unit. The value obtained for the energy above the most stable polymorph in this dataset is 227 meV per atom. The space group is Pm-3m, No. 221.

The structure in POSCAR format:
```
Ac3SnP
1.0
-4.378 1.856 -3.314
3.000 -1.411 -4.754
-2.329 -5.306 0.105
Ac P Sn
3 1 1
direct
0.500 0.000 0.000
0.000 0.500 0.000
0.000 0.000 0.500
0.000 0.000 0.000
0.500 0.500 0.500
```


No. 5
## LaMnZn2N4 (GGA-PBE)

Data for an optimized crystal structure of LaMnZn2N4.

Results
The total DFT energy (no corrections) is -52.98 eV/cell. The value obtained for the magnetic moment is 1.98 μB per formula unit. For the formation energy from raw total energies, the calculation gives -3.038 eV/f.u. The space group is I-42m, No. 121.

The structure in POSCAR format:
```
LaMnZn2N4
1.0
5.309 0.000 0.000
2.654 4.412 -0.950
2.654 -0.456 4.490
Zn N Mn La
2 4 1 1
direct
0.500 0.250 0.750
0.500 0.750 0.250
0.392 0.163 0.445
0.000 0.837 0.555
0.608 0.555 0.837
0.000 0.445 0.163
0.000 0.500 0.500
0.000 0.000 0.000
```


No. 6
## HgPRh2 (GGA-PBE)

Data for an optimized crystal structure of HgPRh2.

Results
The total DFT energy (no corrections) is -19.75 eV/cell. The value obtained for the magnetic moment is 0.22 μB per formula unit. The space group is Fm-3m, No. 225.

The structure in POSCAR format:
```
HgPRh2
1.0
0.000 3.148 3.148
3.148 0.000 3.148
3.148 3.148 0.000
Hg Rh P
1 2 1
direct
0.500 0.500 0.500
0.250 0.250 0.250
0.750 0.750 0.750
0.000 0.000 0.000
```


No. 7
## Pa2SbS2N2 (GGA-PBE)

Data for an optimized crystal structure of Pa2SbS2N2.

Results
The total DFT energy (no corrections) is -55.98 eV/cell. The value obtained for the magnetic moment is 0.00 μB per formula unit. For the formation energy from raw total energies, the calculation gives -7.964 eV/f.u. The space group is P-3m1, No. 164.

The structure in POSCAR format:
```
Pa2SbS2N2
1.0
-1.543 -3.313 -0.891
3.548 0.149 1.240
-4.324 -1.357 12.536
S N Sb Pa
2 2 1 2
direct
0.000 0.000 0.648
0.000 0.000 0.352
0.667 0.333 0.814
0.333 0.667 0.186
0.000 0.000 0.000
0.667 0.333 0.230
0.333 0.667 0.770
```


No. 8
## Hg2PdPb2 (GGA-PBE)

Data for an optimized crystal structure of Hg2PdPb2.

Results
The total DFT energy (no corrections) is -25.76 eV/cell. The value obtained for the magnetic moment is 0.00 μB per formula unit. The value obtained for the energy above the most stable polymorph in this dataset is 180 meV per atom. The space group is P4/mbm, No. 127.

The structure in POSCAR format:
```
Hg2PdPb2
1.0
7.247 0.000 0.000
0.000 7.247 0.000
0.000 0.000 4.918
Hg Pd Pb
4 2 4
direct
0.644 0.144 0.000
0.856 0.644 0.000
0.144 0.356 0.000
0.356 0.856 0.000
0.500 0.500 0.000
0.000 0.000 0.000
0.676 0.824 0.500
0.824 0.324 0.500
0.176 0.676 0.500
0.324 0.176 0.500
```